one.
GdZrAl: relaxed, PBE.

Computed properties:
size of the total moment: 7.2 μB/f.u.

Unit cell a=7.2776 b=7.2776 c=7.2776 alpha=154.76 beta=154.76 gamma=36.00
With the nearest neighbours (Å) after each atom.
Element x y z (fractional)
Gd 0.0000 0.0000 0.0000  4 Gd 3.18, 4 Al 3.19, 4 Zr 3.53
Zr 0.3031 0.3031 0.0000  4 Al 2.97, 4 Zr 3.18
Al 0.6633 0.6633 0.0000  4 Zr 2.97, 4 Al 3.18, 4 Gd 3.19

two.
GdZrAl: relaxed, PBE.

Computed properties:
size of the total moment: 7.0 μB/f.u.

Unit cell a=4.9500 b=4.9500 c=3.3650 alpha=90.00 beta=90.00 gamma=120.00
With the nearest neighbours (Å) after each atom.
Element x y z (fractional)
Gd 0.0000 0.0000 0.0000  3 Al 3.14, 6 Zr 3.23-3.41, 2 Gd 3.37
Zr 0.3333 0.6667 0.5549  3 Al 2.91, 3 Gd 3.23
Al 0.6667 0.3333 0.3845  3 Zr 2.91, 3 Gd 3.14

Result of the stability comparison: two is the least stable of them.

one.
AlGeH: relaxed, PBE.

Computed properties:
size of the total moment: 0.0 μB/f.u.

Unit cell a=6.7162 b=4.4008 c=6.9211 alpha=90.00 beta=90.00 gamma=90.00
With the nearest neighbours (Å) after each atom.
Element x y z (fractional)
Al 0.1326 0.2500 0.0307  4 Ge 2.50-2.66
Al 0.3674 0.7500 0.5307  4 Ge 2.50-2.66
Al 0.6326 0.2500 0.4693  4 Ge 2.50-2.66
Al 0.8674 0.7500 0.9693  4 Ge 2.50-2.66
Ge 0.2485 0.2500 0.3743  1 H 1.57
Ge 0.2515 0.7500 0.8743  1 H 1.57
Ge 0.7485 0.2500 0.1257  1 H 1.57
Ge 0.7515 0.7500 0.6257  1 H 1.57
H 0.0837 0.2500 0.5353  1 Ge 1.57
H 0.4163 0.7500 0.0353  1 Ge 1.57
H 0.5837 0.2500 0.9647  1 Ge 1.57
H 0.9163 0.7500 0.4647  1 Ge 1.57

two.
AlGeH: relaxed, PBE.

Computed properties:
size of the total moment: 0.0 μB/f.u.

Unit cell a=7.8107 b=3.0866 c=7.3494 alpha=90.00 beta=90.00 gamma=90.00
With the nearest neighbours (Å) after each atom.
Element x y z (fractional)
Al 0.1356 0.2500 0.0952  3 H 1.81-1.93
Al 0.3644 0.7500 0.5952  3 H 1.81-1.93
Al 0.6356 0.2500 0.4048  3 H 1.81-1.93
Al 0.8644 0.7500 0.9048  3 H 1.81-1.93
Ge 0.1269 0.2500 0.4405  3 Al 2.54-2.67, 2 Ge 2.66
Ge 0.3731 0.7500 0.9405  3 Al 2.54-2.67, 2 Ge 2.66
Ge 0.6269 0.2500 0.0595  3 Al 2.54-2.67, 2 Ge 2.66
Ge 0.8731 0.7500 0.5595  3 Al 2.54-2.67, 2 Ge 2.66
H 0.0126 0.2500 0.8871  3 Al 1.81-1.93
H 0.4874 0.7500 0.3871  3 Al 1.81-1.93
H 0.5126 0.2500 0.6129  3 Al 1.81-1.93
H 0.9874 0.7500 0.1129  3 Al 1.81-1.93

three.
AlGeH: relaxed, PBE.

Computed properties:
size of the total moment: 0.0 μB/f.u.

Unit cell a=4.8532 b=4.8532 c=4.8532 alpha=121.24 beta=109.49 gamma=98.49
With the nearest neighbours (Å) after each atom.
Element x y z (fractional)
Al 0.0000 0.0000 0.0000  2 H 1.77
Al 0.5000 0.0000 0.5000  2 H 1.77
Ge 0.3799 0.6299 0.7500  6 Al 2.73-2.88, 2 Ge 2.83, 3 H 2.91-3.05
Ge 0.6201 0.3701 0.2500  6 Al 2.73-2.88, 2 Ge 2.83, 3 H 2.91-3.05
H 0.0796 0.8296 0.2500  2 Al 1.77
H 0.9204 0.1704 0.7500  2 Al 1.77

four.
AlGeH: relaxed, PBE.

Computed properties:
size of the total moment: 0.0 μB/f.u.

Unit cell a=4.4438 b=4.4438 c=4.4438 alpha=129.49 beta=129.49 gamma=74.22
With the nearest neighbours (Å) after each atom.
Element x y z (fractional)
Al 0.0000 0.0000 0.0000  1 H 1.77
Ge 0.4841 0.4841 0.0000  1 H 1.66
H 0.2499 0.2499 0.0000  1 Ge 1.66, 1 Al 1.77

Result of the stability comparison: four is the least stable of them.

one.
AlGeH: relaxed, PBE.

Computed properties:
size of the total moment: 0.0 μB/f.u.

Unit cell a=7.4059 b=6.5515 c=4.4455 alpha=82.27 beta=61.23 gamma=36.50
With the nearest neighbours (Å) after each atom.
Element x y z (fractional)
Al 0.1547 0.1547 0.8453  2 H 1.72
Al 0.8453 0.8453 0.1547  2 H 1.72
Ge 0.5626 0.5626 0.9374  2 Al 2.50, 2 Ge 2.52
Ge 0.9374 0.9374 0.5626  2 Al 2.50, 2 Ge 2.52
H 0.0939 0.4061 0.0939  2 Al 1.72
H 0.4061 0.0939 0.4061  2 Al 1.72

two.
AlGeH: relaxed, PBE.

Computed properties:
size of the total moment: 0.0 μB/f.u.

Unit cell a=4.2502 b=4.2502 c=7.6041 alpha=97.11 beta=97.11 gamma=41.34
With the nearest neighbours (Å) after each atom.
Element x y z (fractional)
Al 0.0000 0.0000 0.0000  2 H 1.75-1.85
Al 0.6659 0.6659 0.6572  1 H 1.72
Ge 0.3016 0.3016 0.1686  1 Ge 2.44, 3 Al 2.57-2.63
Ge 0.3666 0.3666 0.4912  1 Ge 2.44, 3 Al 2.54-2.63
H 0.0993 0.0993 0.7931  3 Al 1.85-1.93
H 0.8274 0.8274 0.8322  2 Al 1.72-1.75

Result of the stability comparison: two is the least stable of them.